[1]
Entry from the Alexandria database: a relaxed CaTe2Pt crystal (PBE-GGA).

abc: 5.2176 5.2176 5.2062
angles: 109.90 109.90 108.44
Last column: nearest neighbours and their distance in Å.
Element x y z (fractional)
Ca (0.0000, 0.0000, 0.0000)  4 Te 2.99, 2 Pt 3.05
Te (0.0000, 0.5000, 0.5000)  2 Ca 2.99, 2 Pt 2.99, 2 Te 3.05
Te (0.5000, 0.0000, 0.5000)  2 Ca 2.99, 2 Pt 2.99, 2 Te 3.05
Pt (0.5000, 0.5000, 0.0000)  4 Te 2.99, 2 Ca 3.05

Computed properties:
**Final energy**: -4.113 eV/atom
**ΔE_f (raw)**: -205 kJ/mol of formula units
**Offset from the most stable computed form**: 0.327 eV per atom


[2]
Entry from the Alexandria database: a relaxed Hf2Nb2Bi crystal (PBE-GGA).

abc: 4.4970 4.4970 6.1871
angles: 90.00 90.00 108.04
Last column: nearest neighbours and their distance in Å.
Element x y z (fractional)
Hf (0.0000, 0.0000, 0.2336)  2 Nb 2.84, 1 Hf 2.89, 2 Bi 3.11
Hf (0.0000, 0.0000, 0.7664)  2 Nb 2.84, 1 Hf 2.89, 2 Bi 3.11
Nb (0.3363, 0.6637, 0.0000)  1 Nb 2.38
Nb (0.6637, 0.3363, 0.0000)  1 Nb 2.38
Bi (0.5000, 0.5000, 0.5000)  4 Hf 3.11, 4 Nb 3.32

Computed properties:
**Final energy**: -8.445 eV/atom
**DFT formation energy**: 0.340 eV per atom
**Offset from the most stable computed form**: 0.146 eV per atom


Question: final energy of number 2 (Hf2Nb2Bi)?
Answer: -8.445 eV/atom